## MgTlTc2Mo (PBE)

Data for a relaxed structure of MgTlTc2Mo.

Unit cell a=5.010 b=5.060 c=5.010 alpha=90.00 beta=90.00 gamma=90.00
Sites, in units of the cell vectors:
Mo  0.000  0.500  0.000
Tl  0.000  0.000  0.000
Mg  0.500  0.500  0.500
Tc  0.000  0.000  0.500
Tc  0.500  0.000  0.000

## Properties
Energy of formation ... 2.38 eV/atom
Space group ... P4/mmm
Uncorrected energy ... -4.720 eV/atom
Volume ... 25.4 A^3/atom